1.
# LiMnZn2 | Alexandria via LeMat-Bulk | GGA-PBEsol | relaxed
# Energy of formation, kcal/mol of atoms: 3.5
data_LiMnZn2
_chemical_formula_sum 'Li1 Mn1 Zn2'
_cell_length_a 3.030
_cell_length_b 3.030
_cell_length_c 5.888
_cell_angle_alpha 90.00
_cell_angle_beta 90.00
_cell_angle_gamma 90.00
_space_group_name_H-M_alt 'P 4 m m'
_space_group_IT_number 99
loop_
_space_group_symop_operation_xyz
'x,y,z'
'-y,x,z'
'-x,-y,z'
'y,-x,z'
'-x,y,z'
'y,x,z'
'x,-y,z'
'-y,-x,z'
loop_
_atom_site_label
_atom_site_fract_x
_atom_site_fract_y
_atom_site_fract_z
Li1 0.000 0.000 0.000
Mn1 0.500 0.500 0.259
Zn1 0.000 0.000 0.500
Zn2 0.500 0.500 0.765

2.
# Li2Mo | Alexandria via LeMat-Bulk | GGA-PBEsol | relaxed
# Energy of formation, kcal/mol of atoms: 8.2
# Relative energy among the computed polymorphs, meV per atom: 0
data_Li2Mo
_chemical_formula_sum 'Li2 Mo1'
_cell_length_a 2.6712
_cell_length_b 2.6712
_cell_length_c 7.5275
_cell_angle_alpha 90.00
_cell_angle_beta 90.00
_cell_angle_gamma 120.00
_space_group_name_H-M_alt 'P -3 m 1'
_space_group_IT_number 164
_space_group_name_Hall '-P 3 2"'
loop_
_atom_site_label
_atom_site_fract_x
_atom_site_fract_y
_atom_site_fract_z
Li1 0.3333 0.6667 0.3224
Mo1 0.0000 0.0000 0.0000

3.
# Li2Mo | Alexandria via LeMat-Bulk | GGA-PBEsol | relaxed
# Energy of formation, kcal/mol of atoms: 17.4
# Relative energy among the computed polymorphs, meV per atom: 397
data_Li2Mo
_chemical_formula_sum 'Li8 Mo4'
_cell_length_a 7.159
_cell_length_b 7.159
_cell_length_c 4.502
_cell_angle_alpha 90.00
_cell_angle_beta 90.00
_cell_angle_gamma 90.00
_space_group_name_H-M_alt 'I 4/m c m'
_space_group_IT_number 140
_space_group_name_Hall '-I 4 2c'
loop_
_atom_site_label
_atom_site_fract_x
_atom_site_fract_y
_atom_site_fract_z
Li1 0.160 0.340 0.000
Mo1 0.000 0.000 0.250

4.
# LiMo2 | Alexandria via LeMat-Bulk | GGA-PBEsol | relaxed
# Energy of formation, kcal/mol of atoms: 9.7
data_LiMo2
_chemical_formula_sum 'Li4 Mo8'
_cell_length_a 2.514
_cell_length_b 16.142
_cell_length_c 4.629
_cell_angle_alpha 90.00
_cell_angle_beta 90.00
_cell_angle_gamma 90.00
_space_group_name_H-M_alt 'C m c m'
_space_group_IT_number 63
_space_group_name_Hall '-C 2c 2'
loop_
_atom_site_label
_atom_site_fract_x
_atom_site_fract_y
_atom_site_fract_z
Li1 0.000 0.216 0.250
Mo1 0.000 0.111 0.750
Mo2 0.000 0.451 0.750

5.
# LiMo | Alexandria via LeMat-Bulk | GGA-PBEsol | relaxed
# Energy of formation, kcal/mol of atoms: 22.1
data_LiMo
_chemical_formula_sum 'Li1 Mo1'
_cell_length_a 2.951
_cell_length_b 2.951
_cell_length_c 2.951
_cell_angle_alpha 90.00
_cell_angle_beta 90.00
_cell_angle_gamma 90.00
_space_group_name_H-M_alt 'P m -3 m'
_space_group_IT_number 221
_space_group_name_Hall '-P 4 2 3'
loop_
_atom_site_label
_atom_site_fract_x
_atom_site_fract_y
_atom_site_fract_z
Li1 0.000 0.000 0.000
Mo1 0.500 0.500 0.500

6.
# LiMoN2 | Alexandria via LeMat-Bulk | GGA-PBEsol | relaxed
# Formation energy without anion corrections, kJ/mol of atoms: -66
# Relative energy among the computed polymorphs, meV per atom: 0
data_LiMoN2
_chemical_formula_sum 'Li3 Mo3 N6'
_cell_length_a 2.8755
_cell_length_b 2.8755
_cell_length_c 15.8165
_cell_angle_alpha 90.00
_cell_angle_beta 90.00
_cell_angle_gamma 120.00
_space_group_name_H-M_alt 'R 3 m'
_space_group_IT_number 160
_space_group_name_Hall 'R 3 -2"'
loop_
_atom_site_label
_atom_site_fract_x
_atom_site_fract_y
_atom_site_fract_z
Li1 0.0000 0.0000 0.0000
Mo1 0.0000 0.0000 0.1725
N1 0.0000 0.0000 0.4294
N2 0.0000 0.0000 0.5833

7.
# LiMoN2 | Alexandria via LeMat-Bulk | GGA-PBEsol | relaxed
# Formation energy without anion corrections, kJ/mol of atoms: -54
# Relative energy among the computed polymorphs, meV per atom: 121
data_LiMoN2
_chemical_formula_sum 'Li4 Mo4 N8'
_cell_length_a 4.621
_cell_length_b 4.621
_cell_length_c 9.196
_cell_angle_alpha 90.00
_cell_angle_beta 90.00
_cell_angle_gamma 90.00
_space_group_name_H-M_alt 'I -4 2 d'
_space_group_IT_number 122
_space_group_name_Hall 'I -4 2bw'
loop_
_atom_site_label
_atom_site_fract_x
_atom_site_fract_y
_atom_site_fract_z
Li1 0.000 0.000 0.000
Mo1 0.000 0.000 0.500
N1 0.206 0.250 0.625

8.
# NaLi2Mo | Alexandria via LeMat-Bulk | GGA-PBEsol | relaxed
# Energy of formation, kcal/mol of atoms: 24.4
data_NaLi2Mo
_chemical_formula_sum 'Na4 Li8 Mo4'
_cell_length_a 6.897
_cell_length_b 6.897
_cell_length_c 6.897
_cell_angle_alpha 90.00
_cell_angle_beta 90.00
_cell_angle_gamma 90.00
_space_group_name_H-M_alt 'F m -3 m'
_space_group_IT_number 225
_space_group_name_Hall '-F 4 2 3'
loop_
_atom_site_label
_atom_site_fract_x
_atom_site_fract_y
_atom_site_fract_z
Na1 0.000 0.000 0.000
Li1 0.250 0.250 0.250
Mo1 0.000 0.000 0.500

9.
# NaLi2Mo2P3O14 | Alexandria via LeMat-Bulk | GGA-PBEsol | relaxed
# Formation energy without anion corrections, kJ/mol of atoms: -210
data_NaLi2Mo2P3O14
_chemical_formula_sum 'Na8 Li16 Mo16 P24 O112'
_cell_length_a 15.697
_cell_length_b 8.118
_cell_length_c 17.800
_cell_angle_alpha 90.00
_cell_angle_beta 108.01
_cell_angle_gamma 90.00
_space_group_name_H-M_alt 'C 1 2/c 1'
_space_group_IT_number 15
loop_
_space_group_symop_operation_xyz
'x,y,z'
'-x,-y,-z'
'-x,y,-z+1/2'
'x,-y,z+1/2'
'x+1/2,y+1/2,z'
'-x+1/2,-y+1/2,-z'
'-x+1/2,y+1/2,-z+1/2'
'x+1/2,-y+1/2,z+1/2'
loop_
_atom_site_label
_atom_site_fract_x
_atom_site_fract_y
_atom_site_fract_z
Na1 0.000 0.094 0.250
Na2 0.250 0.250 0.500
Li1 0.104 0.169 0.146
Li2 0.120 0.398 0.256
Mo1 0.073 0.229 0.560
Mo2 0.170 0.264 0.840
P1 0.039 0.448 0.389
P2 0.139 0.115 0.011
P3 0.246 0.398 0.694
O1 0.016 0.317 0.167
O2 0.027 0.413 0.605
O3 0.051 0.196 0.017
O4 0.066 0.072 0.620
O5 0.082 0.146 0.795
O6 0.091 0.383 0.471
O7 0.108 0.479 0.850
O8 0.126 0.071 0.494
O9 0.161 0.171 0.265
O10 0.172 0.195 0.948
O11 0.185 0.391 0.748
O12 0.201 0.296 0.617
O13 0.205 0.136 0.095
O14 0.245 0.418 0.171

10.
# NaLi2MoPd | Alexandria via LeMat-Bulk | GGA-PBEsol | relaxed
# Energy of formation, kcal/mol of atoms: 16.3
data_NaLi2MoPd
_chemical_formula_sum 'Na1 Li2 Mo1 Pd1'
_cell_length_a 4.878
_cell_length_b 4.878
_cell_length_c 4.786
_cell_angle_alpha 90.00
_cell_angle_beta 90.00
_cell_angle_gamma 90.00
_space_group_name_H-M_alt 'P 4/m m m'
_space_group_IT_number 123
_space_group_name_Hall '-P 4 2'
loop_
_atom_site_label
_atom_site_fract_x
_atom_site_fract_y
_atom_site_fract_z
Na1 0.000 0.000 0.000
Li1 0.000 0.500 0.500
Mo1 0.500 0.500 0.000
Pd1 0.500 0.500 0.500

11.
# LiNi2Mo | Alexandria via LeMat-Bulk | GGA-PBEsol | relaxed
# Energy of formation, kcal/mol of atoms: 5.2
# Relative energy among the computed polymorphs, meV per atom: 202
data_LiNi2Mo
_chemical_formula_sum 'Li4 Ni8 Mo4'
_cell_length_a 5.666
_cell_length_b 5.666
_cell_length_c 5.666
_cell_angle_alpha 90.00
_cell_angle_beta 90.00
_cell_angle_gamma 90.00
_space_group_name_H-M_alt 'F -4 3 m'
_space_group_IT_number 216
_space_group_name_Hall 'F -4 2 3'
loop_
_atom_site_label
_atom_site_fract_x
_atom_site_fract_y
_atom_site_fract_z
Li1 0.000 0.000 0.000
Ni1 0.000 0.000 0.500
Ni2 0.250 0.250 0.250
Mo1 0.250 0.250 0.750

12.
# LiNiMo2 | Alexandria via LeMat-Bulk | GGA-PBEsol | relaxed
# Energy of formation, kcal/mol of atoms: 9.1
# Relative energy among the computed polymorphs, meV per atom: 114
data_LiNiMo2
_chemical_formula_sum 'Li4 Ni4 Mo8'
_cell_length_a 5.963
_cell_length_b 5.963
_cell_length_c 5.963
_cell_angle_alpha 90.00
_cell_angle_beta 90.00
_cell_angle_gamma 90.00
_space_group_name_H-M_alt 'F -4 3 m'
_space_group_IT_number 216
_space_group_name_Hall 'F -4 2 3'
loop_
_atom_site_label
_atom_site_fract_x
_atom_site_fract_y
_atom_site_fract_z
Li1 0.000 0.000 0.000
Ni1 0.250 0.250 0.250
Mo1 0.000 0.000 0.500
Mo2 0.250 0.250 0.750

13.
# LiNi2Mo | Alexandria via LeMat-Bulk | GGA-PBEsol | relaxed
# Energy of formation, kcal/mol of atoms: 4.1
# Relative energy among the computed polymorphs, meV per atom: 154
data_LiNi2Mo
_chemical_formula_sum 'Li1 Ni2 Mo1'
_cell_length_a 2.519
_cell_length_b 2.519
_cell_length_c 7.784
_cell_angle_alpha 90.00
_cell_angle_beta 90.00
_cell_angle_gamma 90.00
_space_group_name_H-M_alt 'P 4 m m'
_space_group_IT_number 99
loop_
_space_group_symop_operation_xyz
'x,y,z'
'-y,x,z'
'-x,-y,z'
'y,-x,z'
'-x,y,z'
'y,x,z'
'x,-y,z'
'-y,-x,z'
loop_
_atom_site_label
_atom_site_fract_x
_atom_site_fract_y
_atom_site_fract_z
Li1 0.000 0.000 0.000
Ni1 0.000 0.000 0.446
Ni2 0.500 0.500 0.234
Mo1 0.500 0.500 0.690

14.
# LiNiMo2 | Alexandria via LeMat-Bulk | GGA-PBEsol | relaxed
# Energy of formation, kcal/mol of atoms: 8.9
# Relative energy among the computed polymorphs, meV per atom: 108
data_LiNiMo2
_chemical_formula_sum 'Li1 Ni1 Mo2'
_cell_length_a 4.801
_cell_length_b 2.520
_cell_length_c 4.883
_cell_angle_alpha 90.00
_cell_angle_beta 112.88
_cell_angle_gamma 90.00
_space_group_name_H-M_alt 'P 1 2/m 1'
_space_group_IT_number 10
loop_
_space_group_symop_operation_xyz
'x,y,z'
'-x,-y,-z'
'-x,y,-z'
'x,-y,z'
loop_
_atom_site_label
_atom_site_fract_x
_atom_site_fract_y
_atom_site_fract_z
Li1 0.000 0.000 0.000
Ni1 0.500 0.500 0.000
Mo1 0.000 0.500 0.500
Mo2 0.500 0.000 0.500

15.
# LiNiMo2 | Alexandria via LeMat-Bulk | GGA-PBEsol | relaxed
# Energy of formation, kcal/mol of atoms: 6.8
# Relative energy among the computed polymorphs, meV per atom: 16
data_LiNiMo2
_chemical_formula_sum 'Li1 Ni1 Mo2'
_cell_length_a 3.099
_cell_length_b 4.000
_cell_length_c 4.249
_cell_angle_alpha 90.00
_cell_angle_beta 90.00
_cell_angle_gamma 90.00
_space_group_name_H-M_alt 'P m m m'
_space_group_IT_number 47
loop_
_space_group_symop_operation_xyz
'x,y,z'
'-x,-y,-z'
'-x,-y,z'
'x,y,-z'
'x,-y,-z'
'-x,y,z'
'-x,y,-z'
'x,-y,z'
loop_
_atom_site_label
_atom_site_fract_x
_atom_site_fract_y
_atom_site_fract_z
Li1 0.000 0.000 0.000
Ni1 0.500 0.500 0.000
Mo1 0.000 0.500 0.500
Mo2 0.500 0.000 0.500

16.
# LiNiMo2 | Alexandria via LeMat-Bulk | GGA-PBEsol | relaxed
# Energy of formation, kcal/mol of atoms: 6.4
# Relative energy among the computed polymorphs, meV per atom: 0
data_LiNiMo2
_chemical_formula_sum 'Li2 Ni2 Mo4'
_cell_length_a 3.592
_cell_length_b 3.592
_cell_length_c 8.059
_cell_angle_alpha 90.00
_cell_angle_beta 90.00
_cell_angle_gamma 90.00
_space_group_name_H-M_alt 'I 4/m m m'
_space_group_IT_number 139
_space_group_name_Hall '-I 4 2'
loop_
_atom_site_label
_atom_site_fract_x
_atom_site_fract_y
_atom_site_fract_z
Li1 0.000 0.000 0.000
Ni1 0.000 0.000 0.500
Mo1 0.000 0.500 0.250

17.
# LiNi6Mo | Alexandria via LeMat-Bulk | GGA-PBEsol | relaxed
# Energy of formation, kcal/mol of atoms: -1.5
data_LiNi6Mo
_chemical_formula_sum 'Li8 Ni48 Mo8'
_cell_length_a 7.032
_cell_length_b 9.963
_cell_length_c 9.982
_cell_angle_alpha 90.00
_cell_angle_beta 90.00
_cell_angle_gamma 90.00
_space_group_name_H-M_alt 'C m m m'
_space_group_IT_number 65
_space_group_name_Hall '-C 2 2'
loop_
_atom_site_label
_atom_site_fract_x
_atom_site_fract_y
_atom_site_fract_z
Li1 0.000 0.000 0.246
Li2 0.000 0.255 0.000
Ni1 0.000 0.000 0.000
Ni2 0.000 0.000 0.500
Ni3 0.000 0.250 0.250
Ni4 0.000 0.500 0.000
Ni5 0.000 0.500 0.500
Ni6 0.248 0.125 0.125
Ni7 0.249 0.125 0.375
Mo1 0.000 0.252 0.500
Mo2 0.000 0.500 0.239

18.
# LiNi2Mo | Alexandria via LeMat-Bulk | GGA-PBEsol | relaxed
# Energy of formation, kcal/mol of atoms: 0.5
# Relative energy among the computed polymorphs, meV per atom: 0
data_LiNi2Mo
_chemical_formula_sum 'Li1 Ni2 Mo1'
_cell_length_a 2.637
_cell_length_b 2.637
_cell_length_c 6.765
_cell_angle_alpha 90.00
_cell_angle_beta 90.00
_cell_angle_gamma 90.00
_space_group_name_H-M_alt 'P 4/m m m'
_space_group_IT_number 123
_space_group_name_Hall '-P 4 2'
loop_
_atom_site_label
_atom_site_fract_x
_atom_site_fract_y
_atom_site_fract_z
Li1 0.000 0.000 0.000
Ni1 0.500 0.500 0.238
Mo1 0.000 0.000 0.500

19.
# Li2MoO3 | Alexandria via LeMat-Bulk | GGA-PBEsol | relaxed
# Formation energy without anion corrections, kJ/mol of atoms: -203
# Relative energy among the computed polymorphs, meV per atom: 0
data_Li2MoO3
_chemical_formula_sum 'Li32 Mo16 O48'
_cell_length_a 8.253
_cell_length_b 8.229
_cell_length_c 12.850
_cell_angle_alpha 90.00
_cell_angle_beta 105.61
_cell_angle_gamma 90.00
_space_group_name_H-M_alt 'C 1 2 1'
_space_group_IT_number 5
loop_
_space_group_symop_operation_xyz
'x,y,z'
'-x,y,-z'
'x+1/2,y+1/2,z'
'-x+1/2,y+1/2,-z'
loop_
_atom_site_label
_atom_site_fract_x
_atom_site_fract_y
_atom_site_fract_z
Li1 0.003 0.000 0.252
Li2 0.080 0.237 0.924
Li3 0.090 0.780 0.419
Li4 0.150 0.027 0.574
Li5 0.168 0.516 0.576
Li6 0.175 0.011 0.089
Li7 0.177 0.500 0.079
Li8 0.246 0.762 0.252
Mo1 0.016 0.490 0.256
Mo2 0.072 0.762 0.930
Mo3 0.084 0.268 0.404
Mo4 0.236 0.268 0.255
O1 0.007 0.749 0.755
O2 0.017 0.242 0.761
O3 0.067 0.516 0.905
O4 0.075 0.989 0.917
O5 0.086 0.036 0.414
O6 0.087 0.517 0.414
O7 0.148 0.273 0.575
O8 0.169 0.775 0.585
O9 0.180 0.756 0.085
O10 0.183 0.257 0.092
O11 0.232 0.523 0.744
O12 0.246 0.009 0.747

20.
# Li2MoO3 | Alexandria via LeMat-Bulk | GGA-PBEsol | relaxed
# Formation energy without anion corrections, kJ/mol of atoms: -198
# Relative energy among the computed polymorphs, meV per atom: 49
data_Li2MoO3
_chemical_formula_sum 'Li8 Mo4 O12'
_cell_length_a 5.135
_cell_length_b 8.404
_cell_length_c 5.210
_cell_angle_alpha 90.00
_cell_angle_beta 108.22
_cell_angle_gamma 90.00
_space_group_name_H-M_alt 'C 1 2/m 1'
_space_group_IT_number 12
loop_
_space_group_symop_operation_xyz
'x,y,z'
'-x,-y,-z'
'-x,y,-z'
'x,-y,z'
'x+1/2,y+1/2,z'
'-x+1/2,-y+1/2,-z'
'-x+1/2,y+1/2,-z'
'x+1/2,-y+1/2,z'
loop_
_atom_site_label
_atom_site_fract_x
_atom_site_fract_y
_atom_site_fract_z
Li1 0.000 0.000 0.000
Li2 0.000 0.162 0.500
Li3 0.000 0.500 0.500
Mo1 0.000 0.357 0.000
O1 0.242 0.000 0.730
O2 0.245 0.327 0.776